First-principles (GGA-PBE) data for a relaxed structure of RbZr2SnH, as listed in Alexandria via LeMat-Bulk.

The structure in CIF format:
```
data_RbZr2SnH
_cell_length_a 5.521
_cell_length_b 5.521
_cell_length_c 3.667
_cell_angle_alpha 90.00
_cell_angle_beta 90.00
_cell_angle_gamma 90.00
_symmetry_space_group_name_H-M 'P 4/m m m'
_symmetry_Int_Tables_number 123
_symmetry_space_group_name_Hall '-P 4 2'
loop_
_atom_site_label
_atom_site_fract_x
_atom_site_fract_y
_atom_site_fract_z
Rb1 0.000 0.000 0.000
Zr1 0.000 0.500 0.000
Sn1 0.500 0.500 0.500
H1 0.000 0.000 0.500
```


First-principles (GGA-PBE) data for a relaxed structure of DyScGaNi, as listed in Alexandria via LeMat-Bulk.

The structure in CIF format:
```
data_DyScGaNi
_cell_length_a 6.769
_cell_length_b 6.769
_cell_length_c 6.769
_cell_angle_alpha 90.00
_cell_angle_beta 90.00
_cell_angle_gamma 90.00
_symmetry_space_group_name_H-M 'F -4 3 m'
_symmetry_Int_Tables_number 216
_symmetry_space_group_name_Hall 'F -4 2 3'
loop_
_atom_site_label
_atom_site_fract_x
_atom_site_fract_y
_atom_site_fract_z
Dy1 0.000 0.000 0.000
Sc1 0.000 0.000 0.500
Ga1 0.250 0.250 0.250
Ni1 0.250 0.250 0.750
```

Output
The calculation puts the formation energy from the elements at -471 meV per atom.


First-principles (GGA-PBE) data for a relaxed structure of SrTa2CuO, as listed in Alexandria via LeMat-Bulk.

The structure in CIF format:
```
data_SrTa2CuO
_cell_length_a 5.129
_cell_length_b 5.129
_cell_length_c 3.812
_cell_angle_alpha 90.00
_cell_angle_beta 90.00
_cell_angle_gamma 90.00
_symmetry_space_group_name_H-M 'P 4/m m m'
_symmetry_Int_Tables_number 123
_symmetry_space_group_name_Hall '-P 4 2'
loop_
_atom_site_label
_atom_site_fract_x
_atom_site_fract_y
_atom_site_fract_z
Sr1 0.000 0.000 0.000
Ta1 0.000 0.500 0.500
Cu1 0.500 0.500 0.500
O1 0.500 0.500 0.000
```

Output
For the energy relative to the elements, uncorrected, the calculation gives 1.289 eV/atom.


| no. | E (eV per atom) |
| --- | --- |
| 1 | -3.539 |
| 2 | -5.406 |
| 3 | -5.600 |